Compound: Nd4Dy2HoTm
Source: the Alexandria database
Functional: PBE
Structure: relaxed

Cell and atoms, written as extended XYZ:
```
8
Lattice="5.115 0.000 0.000 0.000 5.140 0.000 0.000 0.000 10.041" Properties=species:S:1:pos:R:3 pbc="T T T"
Nd 0.000 0.000 2.502
Nd 0.000 0.000 7.539
Nd 2.557 2.570 2.505
Nd 2.557 2.570 7.536
Dy 0.000 2.570 0.000
Dy 2.557 0.000 5.020
Ho 0.000 2.570 5.020
Tm 2.557 0.000 0.000
```

Results
E: -4.649 eV/atom
ΔH_f (0 K): 0.135 eV/f.u.

---

Compound: CsTh2Te6
Source: the Alexandria database
Functional: PBE
Structure: relaxed

Cell and atoms, written as extended XYZ:
```
9
Lattice="6.162 0.000 0.000 0.000 2.237 12.801 0.000 -2.237 12.801" Properties=species:S:1:pos:R:3 pbc="T T T"
Cs 0.000 0.000 0.000
Th 0.000 0.000 20.857
Th 3.081 0.000 4.629
Te 0.000 0.000 5.761
Te 1.540 0.000 9.836
Te 1.559 0.000 15.650
Te 3.081 0.000 19.717
Te 4.602 0.000 15.650
Te 4.622 0.000 9.836
```

Results
Raw formation energy: -110.30 kJ per mole of atoms
E: -4.981 eV/atom

---

Compound: Pr4PCI2
Source: the Alexandria database
Functional: PBE
Structure: relaxed

Cell and atoms, written as extended XYZ:
```
8
Lattice="7.152 0.000 0.000 0.000 4.070 0.000 -2.353 0.000 7.829" Properties=species:S:1:pos:R:3 pbc="T T T"
Pr 1.046 0.000 1.393
Pr -0.160 2.035 6.401
Pr 4.959 2.035 1.428
Pr 3.753 0.000 6.436
P 3.576 0.000 0.000
C 0.000 2.035 0.000
I -1.177 0.000 3.915
I 2.399 2.035 3.915
```

Results
Raw formation energy: -98.64 kJ per mole of atoms
E: -5.629 eV/atom